[1]
Crystalline Rb2LiPuBr5 at its relaxed geometry. Source: the Alexandria database, functional PBE.

Unit cell a=4.476 b=10.181 c=14.582 alpha=90.00 beta=90.00 gamma=102.70
Each line ends with the local moment (μB).
Atoms (fractional coordinates):
Rb 0.874 0.747 0.823  0.00
Rb 0.896 0.793 0.179  0.00
Rb 0.126 0.253 0.323  0.00
Rb 0.104 0.207 0.679  0.00
Li 0.443 0.886 0.435  0.00
Li 0.557 0.114 0.935  0.00
Br 0.312 0.624 0.385  -0.02
Br 0.352 0.703 0.005  -0.01
Br 0.688 0.376 0.885  -0.02
Br 0.711 0.423 0.164  -0.03
Br 0.500 0.000 0.284  0.00
Br 0.289 0.577 0.664  -0.03
Br 0.051 0.102 0.024  -0.01
Br 0.500 0.000 0.784  0.00
Br 0.949 0.898 0.524  -0.01
Br 0.648 0.297 0.505  -0.01
Pu 0.203 0.406 0.025  5.78
Pu 0.797 0.594 0.525  5.78

Summary:
Its space group is Cmc2_1. The calculation puts the energy relative to the elements, uncorrected at -1.59 eV/atom. The total energy is -4.535 eV/atom. The calculation puts the density of states at the Fermi level at 1.865 states/eV/atom.

---

[2]
Crystalline MgAlAu2 at its relaxed geometry. Source: the Alexandria database, functional PBE.

Unit cell a=3.371 b=3.195 c=7.212 alpha=63.19 beta=90.00 gamma=90.00
Atoms (fractional coordinates):
Au 0.000 0.018 0.985
Au 0.000 0.482 0.515
Mg 0.500 0.250 0.250
Al 0.500 0.750 0.750

Summary:
Its space group is P2/m. The total energy is -3.437 eV/atom. The calculation puts the density of states at the Fermi level at 0.334 states/eV/atom. The formation energy is -44.75 kJ per mole of atoms.